Record 1
A plane-wave DFT calculation with PBE was carried out for a relaxed GdErIrPd crystal.

```
GdErIrPd
1.0
0.000 3.465 3.465
3.465 0.000 3.465
3.465 3.465 0.000
Gd Er Ir Pd
1 1 1 1
Direct
0.000 0.000 0.000 Gd
0.500 0.500 0.500 Er
0.750 0.750 0.750 Ir
0.250 0.250 0.250 Pd
```

Output
Total DFT energy (no corrections), eV per formula unit: -36.2
Formation energy from the elements, meV/atom: -886
SG: F-43m, No. 216

=====

Record 2
A plane-wave DFT calculation with PBE was carried out for a relaxed GdErIrRh crystal.

```
GdErIrRh
1.0
0.000 3.427 3.427
3.427 0.000 3.427
3.427 3.427 0.000
Gd Er Ir Rh
1 1 1 1
Direct
0.000 0.000 0.000 Gd
0.500 0.500 0.500 Er
0.750 0.750 0.750 Ir
0.250 0.250 0.250 Rh
```

Output
Total DFT energy (no corrections), eV per formula unit: -38.3
Formation energy from the elements, meV/atom: -855
SG: F-43m, No. 216

=====

Record 3
A plane-wave DFT calculation with PBE was carried out for a relaxed GdErTlIr crystal.

```
GdErTlIr
1.0
0.000 3.607 3.607
3.607 0.000 3.607
3.607 3.607 0.000
Gd Er Tl Ir
1 1 1 1
Direct
0.000 0.000 0.000 Gd
0.500 0.500 0.500 Er
0.750 0.750 0.750 Tl
0.250 0.250 0.250 Ir
```

Output
Total DFT energy (no corrections), eV per formula unit: -31.8
Formation energy from the elements, meV/atom: -477
SG: F-43m, No. 216

=====

> What is the formation energy from the elements in the second record?

-855 meV/atom